# 1
Below is AgHgSe2 after structural relaxation, with properties calculated at the PBE-GGA level.

The structure in CIF format:
```
data_AgHgSe2
_symmetry_space_group_name_H-M 'P 1'
_symmetry_Int_Tables_number 1
_symmetry_space_group_name_Hall 'P 1'
_cell_length_a 4.547
_cell_length_b 4.547
_cell_length_c 6.122
_cell_angle_alpha 99.10
_cell_angle_beta 99.10
_cell_angle_gamma 58.21
loop_
_atom_site_label
_atom_site_fract_x
_atom_site_fract_y
_atom_site_fract_z
Ag1 0.000 0.000 0.000
Hg1 0.323 0.323 0.307
Se1 0.660 0.660 0.468
Se2 0.666 0.666 0.910
```

M_tot in μB/f.u.: 0.00
Formation energy without anion corrections in eV/f.u.: 0.08

***

# 2
Below is TaGaAu after structural relaxation, with properties calculated at the PBE-GGA level.

The structure in CIF format:
```
data_TaGaAu
_symmetry_space_group_name_H-M 'P 1'
_symmetry_Int_Tables_number 1
_symmetry_space_group_name_Hall 'P 1'
_cell_length_a 7.899
_cell_length_b 7.899
_cell_length_c 7.899
_cell_angle_alpha 30.95
_cell_angle_beta 30.95
_cell_angle_gamma 30.95
loop_
_atom_site_label
_atom_site_fract_x
_atom_site_fract_y
_atom_site_fract_z
Ta1 0.133 0.133 0.133
Ta2 0.867 0.867 0.867
Ga1 0.254 0.254 0.254
Ga2 0.746 0.746 0.746
Au1 0.372 0.372 0.372
Au2 0.628 0.628 0.628
```

Formation enthalpy at 0 K in meV/atom: 198
M_tot in μB/f.u.: 0.00

***

# 3
Below is La2Y6Er3Mg after structural relaxation, with properties calculated at the PBE-GGA level.

The structure in CIF format:
```
data_La2Y6Er3Mg
_symmetry_space_group_name_H-M 'P 1'
_symmetry_Int_Tables_number 1
_symmetry_space_group_name_Hall 'P 1'
_cell_length_a 6.168
_cell_length_b 6.168
_cell_length_c 11.816
_cell_angle_alpha 95.03
_cell_angle_beta 95.03
_cell_angle_gamma 120.04
loop_
_atom_site_label
_atom_site_fract_x
_atom_site_fract_y
_atom_site_fract_z
La1 0.167 0.833 0.000
La2 0.833 0.167 0.000
Y1 0.086 0.416 0.746
Y2 0.253 0.253 0.254
Y3 0.416 0.086 0.746
Y4 0.584 0.914 0.254
Y5 0.747 0.747 0.746
Y6 0.914 0.584 0.254
Er1 0.000 0.000 0.500
Er2 0.335 0.665 0.500
Er3 0.665 0.335 0.500
Mg1 0.500 0.500 0.000
```

Formation enthalpy at 0 K in meV/atom: 23
M_tot in μB/f.u.: 0.00

***

# 4
Below is TaIn2Tc after structural relaxation, with properties calculated at the PBE-GGA level.

The structure in CIF format:
```
data_TaIn2Tc
_symmetry_space_group_name_H-M 'P 1'
_symmetry_Int_Tables_number 1
_symmetry_space_group_name_Hall 'P 1'
_cell_length_a 2.999
_cell_length_b 4.345
_cell_length_c 5.757
_cell_angle_alpha 90.00
_cell_angle_beta 90.00
_cell_angle_gamma 90.00
loop_
_atom_site_label
_atom_site_fract_x
_atom_site_fract_y
_atom_site_fract_z
Ta1 0.000 0.000 0.000
In1 0.500 0.500 0.257
In2 0.500 0.500 0.743
Tc1 0.000 0.000 0.500
```

Formation enthalpy at 0 K in meV/atom: 386
M_tot in μB/f.u.: 0.96

***

The highest M_tot belongs to which entry? TaIn2Tc

***

M_tot of number 3 (La2Y6Er3Mg)? 0.00 μB/f.u.